1.
First-principles (PBE) data for a relaxed Rb4Pt5 crystal, as listed in the Alexandria database.

Offset from the most stable computed form, kcal/mol of atoms: 5.02
Magnetic moment, μB per formula unit: 0.00
Symmetry: P6_3/mcm
ΔH_f (0 K), eV/atom: 0.724

Geometry as POSCAR:
```
Rb4Pt5
1.0
8.978 0.000 0.000
-4.489 7.775 0.000
0.000 0.000 6.152
Pt Rb
10 8
Cartesian
0.000 5.183 0.000
4.489 2.592 0.000
3.516 0.000 4.614
5.461 0.000 1.538
4.489 2.592 3.076
1.758 3.045 1.538
0.000 5.183 3.076
-1.758 3.045 4.614
2.731 4.730 4.614
-2.731 4.730 1.538
0.000 0.000 3.076
2.740 0.000 1.538
0.000 0.000 0.000
1.370 2.373 4.614
6.237 0.000 4.614
-3.119 5.402 4.614
-1.370 2.373 1.538
3.119 5.402 1.538
```



2.
First-principles (PBE) data for a relaxed RbPt2 crystal, as listed in the Alexandria database.

Magnetic moment, μB per formula unit: 0.00
Symmetry: P6_3/mmc
ΔH_f (0 K), eV/atom: 0.056

Geometry as POSCAR:
```
RbPt2
1.0
-3.336 -4.524 -0.516
5.591 -0.537 -0.565
0.767 -1.606 9.113
Rb Pt
4 8
Cartesian
2.666 -1.972 0.050
0.073 -4.104 4.623
0.356 -4.695 7.981
2.948 -2.563 3.409
1.873 -2.131 6.563
-1.668 -4.266 1.754
0.013 -1.988 2.014
4.689 -2.401 6.278
3.009 -4.679 6.018
0.000 0.000 0.000
0.383 -0.803 4.557
1.148 -4.536 1.469
```



3.
First-principles (PBE) data for a relaxed RbPt3 crystal, as listed in the Alexandria database.

Offset from the most stable computed form, kcal/mol of atoms: 20.75
Magnetic moment, μB per formula unit: 0.01
Symmetry: I4/mmm
ΔH_f (0 K), eV/atom: 0.756

Geometry as POSCAR:
```
RbPt3
1.0
5.126 -0.041 0.000
1.475 4.910 0.000
-3.301 -2.434 3.076
Pt Rb
3 1
Cartesian
0.737 2.455 1.538
3.301 2.434 0.000
2.563 -0.021 1.538
0.000 0.000 0.000
```



4.
First-principles (PBE) data for a relaxed RbPt2 crystal, as listed in the Alexandria database.

Magnetic moment, μB per formula unit: 0.00
Symmetry: P6_3/mmc
ΔH_f (0 K), eV/atom: 0.993

Geometry as POSCAR:
```
RbPt2
1.0
0.318 1.778 -4.692
-3.114 -3.808 1.040
-4.392 3.915 1.186
Pt Rb
4 2
Cartesian
-1.924 0.895 -2.485
-5.264 0.990 0.018
-2.196 1.958 0.593
0.000 0.000 0.000
-3.068 -0.967 -0.574
-4.120 2.852 -1.892
```



5.
First-principles (PBE) data for a relaxed RbPt2 crystal, as listed in the Alexandria database.

Magnetic moment, μB per formula unit: 0.00
Symmetry: I4/mcm
ΔH_f (0 K), eV/atom: 1.121

Geometry as POSCAR:
```
RbPt2
1.0
2.632 5.348 0.478
-4.842 -1.759 3.036
4.217 -3.673 2.118
Pt Rb
4 2
Cartesian
4.150 0.400 2.200
0.558 -1.889 2.279
1.450 1.805 3.353
-2.142 -0.484 3.432
-1.657 2.692 2.636
-0.552 0.897 0.879
```



6.
First-principles (PBE) data for a relaxed RbPt3 crystal, as listed in the Alexandria database.

Offset from the most stable computed form, kcal/mol of atoms: 0.00
Magnetic moment, μB per formula unit: 0.00
Symmetry: Pmmn
ΔH_f (0 K), eV/atom: -0.143

Geometry as POSCAR:
```
RbPt3
1.0
-7.261 -2.252 -1.911
0.039 -3.012 3.402
-2.359 4.331 3.860
Pt Rb
6 2
Cartesian
-0.038 -1.401 1.795
-6.143 -1.666 -1.404
-1.341 -0.177 -0.141
-5.932 3.100 2.812
-4.629 1.875 4.747
-7.088 1.113 4.100
-1.306 2.397 2.137
-4.664 -0.698 2.470
```



7.
First-principles (PBE) data for a relaxed Rb3Pt5 crystal, as listed in the Alexandria database.

Offset from the most stable computed form, kcal/mol of atoms: 7.96
Magnetic moment, μB per formula unit: 0.00
Symmetry: Cmmm
ΔH_f (0 K), eV/atom: 0.531

Geometry as POSCAR:
```
Rb3Pt5
1.0
4.490 -4.877 0.000
4.490 4.877 0.000
0.000 0.000 4.019
Pt Rb
5 3
Cartesian
4.490 2.898 2.009
2.245 -2.439 0.000
2.245 2.439 0.000
4.490 -2.898 2.009
0.000 0.000 0.000
2.323 0.000 2.009
4.490 0.000 0.000
6.656 0.000 2.009
```



8.
First-principles (PBE) data for a relaxed RbPt3 crystal, as listed in the Alexandria database.

Offset from the most stable computed form, kcal/mol of atoms: 0.12
Magnetic moment, μB per formula unit: 0.00
Symmetry: R-3m
ΔH_f (0 K), eV/atom: -0.138

Geometry as POSCAR:
```
RbPt3
1.0
-3.196 -0.976 3.112
-0.508 -4.289 1.483
2.827 -0.682 6.039
Pt Rb
3 1
Cartesian
-0.438 -2.973 5.317
0.713 -1.240 3.693
-1.590 -4.706 6.942
0.000 0.000 0.000
```



9.
First-principles (PBE) data for a relaxed RbPt3 crystal, as listed in the Alexandria database.

Offset from the most stable computed form, kcal/mol of atoms: 14.04
Magnetic moment, μB per formula unit: 1.24
Symmetry: P6_3/mmc
ΔH_f (0 K), eV/atom: 0.465

Geometry as POSCAR:
```
RbPt3
1.0
3.804 -6.588 0.000
3.804 6.588 0.000
0.000 0.000 4.387
Pt Rb
6 2
Cartesian
6.244 -0.787 1.097
1.363 -0.787 1.097
3.804 5.014 3.290
6.244 0.787 3.290
3.804 -5.014 1.097
1.363 0.787 3.290
3.804 2.196 1.097
3.804 -2.196 3.290
```



10.
First-principles (PBE) data for a relaxed RbPt4 crystal, as listed in the Alexandria database.

Offset from the most stable computed form, kcal/mol of atoms: 0.00
Magnetic moment, μB per formula unit: 0.00
Symmetry: I4/mmm
ΔH_f (0 K), eV/atom: 0.263

Geometry as POSCAR:
```
RbPt4
1.0
-2.331 2.331 5.030
2.331 -2.331 5.030
2.331 2.331 -5.030
Rb Pt
1 4
Cartesian
0.000 0.000 0.000
0.000 0.000 3.752
0.000 0.000 6.307
0.000 2.331 2.515
2.331 0.000 2.515
```



11.
First-principles (PBE) data for a relaxed RbPt2 crystal, as listed in the Alexandria database.

Magnetic moment, μB per formula unit: 0.97
Symmetry: P6/mmm
ΔH_f (0 K), eV/atom: 0.111

Geometry as POSCAR:
```
RbPt2
1.0
-1.289 2.755 3.086
-2.927 -1.909 -2.561
-0.387 -4.099 3.497
Rb Pt
1 2
Cartesian
0.000 0.000 0.000
-2.575 -2.404 1.070
-2.029 -0.849 2.952
```



12.
First-principles (PBE) data for a relaxed RbPt3 crystal, as listed in the Alexandria database.

Offset from the most stable computed form, kcal/mol of atoms: 9.24
Magnetic moment, μB per formula unit: 0.00
Symmetry: Pmm2
ΔH_f (0 K), eV/atom: 0.257

Geometry as POSCAR:
```
RbPt3
1.0
2.842 0.000 0.000
0.000 4.339 0.000
0.000 0.000 7.373
Pt Rb
3 1
Cartesian
1.421 2.170 5.348
1.421 0.000 3.713
0.000 2.170 2.951
0.000 0.000 0.276
```



13.
First-principles (PBE) data for a relaxed Rb3Pt crystal, as listed in the Alexandria database.

Magnetic moment, μB per formula unit: 0.00
Symmetry: Imm2
ΔH_f (0 K), eV/atom: 0.100

Geometry as POSCAR:
```
Rb3Pt
1.0
7.581 -0.453 -0.011
2.249 7.254 0.011
-3.515 -5.424 3.988
Rb Pt
3 1
Cartesian
3.499 1.952 0.214
-0.617 0.892 2.015
6.770 4.215 0.214
2.934 -4.241 2.869
```



14.
First-principles (PBE) data for a relaxed RbPt3 crystal, as listed in the Alexandria database.

Offset from the most stable computed form, kcal/mol of atoms: 12.44
Magnetic moment, μB per formula unit: 0.00
Symmetry: R-3m
ΔH_f (0 K), eV/atom: 0.396

Geometry as POSCAR:
```
RbPt3
1.0
-3.892 9.641 1.648
-3.644 8.837 4.411
-1.381 9.986 3.033
Pt Rb
3 1
Cartesian
-6.773 21.621 6.906
-2.144 6.842 2.186
-4.458 14.232 4.546
0.000 0.000 0.000
```



15.
First-principles (PBE) data for a relaxed Rb3Pt crystal, as listed in the Alexandria database.

Magnetic moment, μB per formula unit: 0.00
Symmetry: I4/mmm
ΔH_f (0 K), eV/atom: 0.186

Geometry as POSCAR:
```
Rb3Pt
1.0
-3.006 3.006 9.541
3.006 -3.006 9.541
3.006 3.006 -9.541
Pt Rb
2 6
Cartesian
0.000 0.000 6.542
0.000 0.000 12.539
3.006 0.000 0.000
0.000 3.006 0.000
0.000 3.006 4.770
0.000 0.000 16.287
3.006 0.000 4.770
0.000 0.000 2.794
```



16.
First-principles (PBE) data for a relaxed Rb3Pt crystal, as listed in the Alexandria database.

Magnetic moment, μB per formula unit: 0.00
Symmetry: P4mm
ΔH_f (0 K), eV/atom: 0.223

Geometry as POSCAR:
```
Rb3Pt
1.0
-1.485 -4.558 2.590
3.719 -2.808 -2.808
3.686 1.003 3.880
Rb Pt
3 1
Cartesian
3.383 0.921 3.560
0.796 -1.860 2.914
4.498 -2.762 3.450
3.387 -0.988 0.203
```



17.
First-principles (PBE) data for a relaxed RbPt2 crystal, as listed in the Alexandria database.

Magnetic moment, μB per formula unit: 0.00
Symmetry: I4/mmm
ΔH_f (0 K), eV/atom: 0.049

Geometry as POSCAR:
```
RbPt2
1.0
6.529 0.007 0.000
4.534 4.697 0.000
-5.531 -2.352 2.549
Rb Pt
1 2
Cartesian
0.000 0.000 0.000
3.009 1.279 0.000
8.053 3.424 0.000
```



18.
First-principles (PBE) data for a relaxed RbPt3 crystal, as listed in the Alexandria database.

Offset from the most stable computed form, kcal/mol of atoms: 10.39
Magnetic moment, μB per formula unit: 0.00
Symmetry: P2/m
ΔH_f (0 K), eV/atom: 0.307

Geometry as POSCAR:
```
RbPt3
1.0
-7.633 2.109 -2.090
-1.617 -2.426 3.456
9.061 -0.495 3.892
Pt Rb
3 1
Cartesian
-3.816 1.055 -1.045
3.132 -0.365 4.167
-3.320 -0.447 1.091
0.000 0.000 0.000
```



19.
First-principles (PBE) data for a relaxed RbPt4 crystal, as listed in the Alexandria database.

Offset from the most stable computed form, kcal/mol of atoms: 1.02
Magnetic moment, μB per formula unit: 0.00
Symmetry: C2/m
ΔH_f (0 K), eV/atom: 0.307

Geometry as POSCAR:
```
RbPt4
1.0
-3.200 3.258 3.143
3.167 -2.744 2.474
3.193 2.757 -2.434
Rb Pt
1 4
Cartesian
0.000 0.000 0.000
1.776 0.257 2.822
3.173 1.116 0.750
1.384 3.013 0.362
-0.013 2.155 2.433
```



20.
First-principles (PBE) data for a relaxed RbPt2 crystal, as listed in the Alexandria database.

Magnetic moment, μB per formula unit: 0.00
Symmetry: Cmcm
ΔH_f (0 K), eV/atom: 0.314

Geometry as POSCAR:
```
RbPt2
1.0
1.472 -11.130 0.000
1.472 11.130 0.000
0.000 0.000 4.639
Pt Rb
4 2
Cartesian
1.472 5.081 3.480
1.472 -5.081 1.160
1.472 3.696 1.160
1.472 -3.696 3.480
1.472 9.260 1.160
1.472 -9.260 3.480
```



21.
First-principles (PBE) data for a relaxed RbPt2 crystal, as listed in the Alexandria database.

Magnetic moment, μB per formula unit: 0.00
Symmetry: I4_1/amd
ΔH_f (0 K), eV/atom: 0.189

Geometry as POSCAR:
```
RbPt2
1.0
-2.332 2.332 7.308
2.332 -2.332 7.308
2.332 2.332 -7.308
Pt Rb
4 2
Cartesian
0.000 0.000 8.579
2.332 0.000 4.925
0.000 0.000 6.037
2.332 0.000 2.383
0.000 0.000 0.000
0.000 2.332 3.654
```



22.
First-principles (PBE) data for a relaxed Rb3Pt crystal, as listed in the Alexandria database.

Magnetic moment, μB per formula unit: 0.00
Symmetry: Immm
ΔH_f (0 K), eV/atom: 0.085

Geometry as POSCAR:
```
Rb3Pt
1.0
-2.312 -7.185 5.543
3.956 -8.177 2.276
-0.119 9.328 -0.822
Rb Pt
3 1
Cartesian
1.064 -9.946 5.062
0.580 -5.416 2.757
1.918 0.575 0.727
-1.215 1.071 2.360
```



23.
First-principles (PBE) data for a relaxed Rb7Pt crystal, as listed in the Alexandria database.

Magnetic moment, μB per formula unit: 0.00
Symmetry: Fm-3m
ΔH_f (0 K), eV/atom: 0.268

Geometry as POSCAR:
```
Rb7Pt
1.0
0.000 6.341 6.341
6.341 0.000 6.341
6.341 6.341 0.000
Pt Rb
1 7
Cartesian
0.000 0.000 0.000
3.171 0.000 3.171
3.171 3.171 6.341
3.171 3.171 0.000
6.341 6.341 6.341
3.171 6.341 3.171
0.000 3.171 3.171
6.341 3.171 3.171
```



24.
First-principles (PBE) data for a relaxed RbPt2 crystal, as listed in the Alexandria database.

Magnetic moment, μB per formula unit: 0.00
Symmetry: P6_3/mmc
ΔH_f (0 K), eV/atom: -0.008

Geometry as POSCAR:
```
RbPt2
1.0
5.639 0.000 0.000
-2.819 4.883 0.000
0.000 0.000 18.502
Pt Rb
16 8
Cartesian
2.819 0.000 0.000
1.410 2.442 0.000
2.819 3.256 4.625
2.819 0.000 9.251
4.229 0.814 4.625
1.410 4.069 13.876
2.819 1.628 7.010
-1.410 4.069 13.876
2.819 1.628 2.241
-1.410 2.442 9.251
0.000 3.255 11.492
1.409 0.814 4.625
-1.410 2.442 0.000
0.000 1.627 13.876
0.000 3.255 16.261
1.410 2.442 9.251
0.000 0.000 7.542
0.000 3.255 6.360
2.819 1.628 15.610
0.000 3.255 2.891
2.819 1.628 12.142
0.000 0.000 10.960
0.000 0.000 16.792
0.000 0.000 1.709
```



25.
First-principles (PBE) data for a relaxed RbPt3 crystal, as listed in the Alexandria database.

Offset from the most stable computed form, kcal/mol of atoms: 16.15
Magnetic moment, μB per formula unit: 0.00
Symmetry: R-3m
ΔH_f (0 K), eV/atom: 0.557

Geometry as POSCAR:
```
RbPt3
1.0
5.663 0.002 0.005
-2.599 5.031 0.005
-2.599 -4.268 2.664
Pt Rb
3 1
Cartesian
1.532 -2.133 1.335
-2.599 0.381 1.335
1.532 2.516 0.005
0.000 0.000 0.000
```



26.
First-principles (PBE) data for a relaxed RbPt3 crystal, as listed in the Alexandria database.

Offset from the most stable computed form, kcal/mol of atoms: 5.63
Magnetic moment, μB per formula unit: 0.00
Symmetry: Cmcm
ΔH_f (0 K), eV/atom: 0.101

Geometry as POSCAR:
```
RbPt3
1.0
-1.417 3.750 -7.871
-2.934 3.782 7.424
2.426 1.415 0.238
Pt Rb
6 2
Cartesian
-2.707 5.312 4.352
0.781 3.636 -4.561
-1.002 4.841 6.468
-0.584 6.000 -4.701
-1.341 2.948 4.492
-0.923 4.107 -6.678
-1.386 4.116 -2.013
-0.539 4.832 1.804
```